{"formula": "SiTcNi", "functional": "PBE", "state": "relaxed", "lattice_angstrom": [[2.9949, 0.0000, 0.0000], [0.0000, 4.1116, 0.0000], [0.0000, 0.0000, 12.1147]], "species": ["Ni", "Ni", "Ni", "Ni", "Si", "Si", "Si", "Si", "Tc", "Tc", "Tc", "Tc"], "frac_coords": [[0.5000, 0.0000, 0.6892], [0.5000, 0.5000, 0.1892], [0.0000, 0.0000, 0.5209], [0.0000, 0.5000, 0.0209], [0.5000, 0.0000, 0.3552], [0.5000, 0.5000, 0.8552], [0.5000, 0.0000, 0.0292], [0.5000, 0.5000, 0.5292], [0.0000, 0.0000, 0.1867], [0.0000, 0.5000, 0.6867], [0.0000, 0.0000, 0.8646], [0.0000, 0.5000, 0.3646]], "volume_a3_per_atom": 12.43, "m_tot_mub_per_atom": 0.000, "e_above_lowest_polymorph_ev_per_atom": 0.097}

---

{"formula": "SiTcNi", "functional": "PBE", "state": "relaxed", "lattice_angstrom": [[-0.7387, 4.9783, 1.0885], [-2.5715, -0.9610, 2.6499], [5.8066, -1.6324, 5.0428]], "species": ["Ni", "Ni", "Ni", "Ni", "Si", "Si", "Si", "Si", "Tc", "Tc", "Tc", "Tc"], "frac_coords": [[0.2724, 0.0000, 0.6218], [0.2724, 0.5000, 0.1218], [0.1299, 0.0000, 0.3059], [0.1299, 0.5000, 0.8059], [0.5751, 0.0000, 0.2738], [0.5751, 0.5000, 0.7738], [0.0144, 0.0000, 0.9895], [0.0144, 0.5000, 0.4895], [0.5079, 0.0000, 0.9476], [0.5079, 0.5000, 0.4476], [0.7920, 0.0000, 0.6693], [0.7920, 0.5000, 0.1693]], "volume_a3_per_atom": 12.68, "m_tot_mub_per_atom": 0.000, "e_above_lowest_polymorph_ev_per_atom": 0.084}

---

{"formula": "SiTcNi", "functional": "PBE", "state": "relaxed", "lattice_angstrom": [[-2.7889, -1.9664, 2.2702], [3.8907, -1.2884, -0.0362], [1.0519, 3.0656, 3.9476]], "species": ["Ni", "Ni", "Si", "Si", "Tc", "Tc"], "frac_coords": [[0.3333, 0.6667, 0.7044], [0.6667, 0.3333, 0.8802], [0.6667, 0.3333, 0.3892], [0.0000, 0.0000, 0.0147], [0.0000, 0.0000, 0.5340], [0.3333, 0.6667, 0.1858]], "volume_a3_per_atom": 12.38, "m_tot_mub_per_atom": 0.000, "e_above_lowest_polymorph_ev_per_atom": 0.061}

---

{"formula": "Si2Tc2Ni", "functional": "PBE", "state": "relaxed", "lattice_angstrom": [[-2.9409, -1.7151, -4.8196], [5.0566, -0.1319, -3.0386], [0.4854, -3.5330, 0.9611]], "species": ["Ni", "Ni", "Si", "Si", "Si", "Si", "Tc", "Tc", "Tc", "Tc"], "frac_coords": [[0.0000, 0.0000, 0.0000], [0.5000, 0.5000, 0.0000], [0.3597, 0.8597, 0.0000], [0.8597, 0.6403, 0.0000], [0.6403, 0.1403, 0.0000], [0.1403, 0.3597, 0.0000], [0.1702, 0.6702, 0.5000], [0.6702, 0.8298, 0.5000], [0.8298, 0.3298, 0.5000], [0.3298, 0.1702, 0.5000]], "volume_a3_per_atom": 12.86, "m_tot_mub_per_atom": 0.000, "e_above_lowest_polymorph_ev_per_atom": 0.000}

---

Taking the records one at a time from the top gives Fermi-level density of states values of 0.885; 0.987; 0.657; 0.675 states/eV per atom.
Taking the records one at a time from the top gives formation energy from raw total energies values of -0.31; -0.32; -0.34; -0.35 eV per atom.